# FePC (PBE, optimized geometry)
# DFT formation energy: 0.16 eV per atom
# Magnetization: 1.8 Bohr magnetons per cell
# Energy: -45.25 eV for the cell shown
data_FePC
_cell_length_a 8.748
_cell_length_b 8.748
_cell_length_c 8.748
_cell_angle_alpha 18.54
_cell_angle_beta 18.54
_cell_angle_gamma 18.54
_space_group_name_H-M_alt 'P 1'
_space_group_IT_number 1
_space_group_name_Hall 'P 1'
loop_
_atom_site_label
_atom_site_type_symbol
_atom_site_fract_x
_atom_site_fract_y
_atom_site_fract_z
Fe1 Fe 0.000 0.000 0.000
Fe2 Fe 0.125 0.125 0.125
P1 P 0.260 0.260 0.260
P2 P 0.725 0.725 0.725
C1 C 0.502 0.502 0.502
C2 C 0.558 0.558 0.558